Entry 1:
Below is a relaxed TbCuTeO6 crystal, with properties calculated at the GGA-PBE level.

space-group type	No. 102
theoretical density	6.449	g cm⁻³
magnetic moment	0.228	μB per atom
DOS at the Fermi energy	8.26	states/eV/cell
E	-6.070	eV/atom

a b c (Å): 4.895 4.895 9.587
angles (deg): 90.00 90.00 90.00
Fractional positions:
Tb1 0.000 0.000 0.000
Tb2 0.500 0.500 0.500
Cu1 0.000 0.000 0.329
Cu2 0.500 0.500 0.829
Te1 0.000 0.000 0.662
Te2 0.500 0.500 0.162
O1 0.175 0.175 0.501
O2 0.197 0.197 0.807
O3 0.216 0.216 0.171
O4 0.284 0.716 0.671
O5 0.303 0.697 0.307
O6 0.325 0.675 0.001
O7 0.675 0.325 0.001
O8 0.697 0.303 0.307
O9 0.716 0.284 0.671
O10 0.784 0.784 0.171
O11 0.803 0.803 0.807
O12 0.825 0.825 0.501

Entry 2:
Below is a relaxed TbUCu2O8 crystal, with properties calculated at the GGA-PBE level.

space-group type	No. 119
theoretical density	6.798	g cm⁻³
magnetic moment	0.234	μB per atom
DOS at the Fermi energy	8.47	states/eV/cell
E	-7.050	eV/atom

a b c (Å): 5.916 5.916 5.916
angles (deg): 108.65 108.65 111.13
Fractional positions:
Tb1 0.000 0.000 0.000
U1 0.750 0.250 0.500
Cu1 0.250 0.750 0.500
Cu2 0.500 0.500 0.000
O1 0.044 0.371 0.327
O2 0.044 0.717 0.673
O3 0.106 0.302 0.804
O4 0.283 0.956 0.327
O5 0.499 0.302 0.196
O6 0.629 0.956 0.673
O7 0.698 0.501 0.804
O8 0.698 0.894 0.196

no.,formation energy without anion corrections (eV/atom)
1,-1.446
2,-1.735